VASP calculation (PBE-GGA) on Na3Ag2Ge4 after structural relaxation.

The space group is C2/m, No. 12. The formation energy comes out at -87 meV/atom. The value obtained for the total moment is 0.00 μB per cell. The calculation puts the energy above the most stable polymorph in this dataset at 0 meV/atom. The density is 5.10 g cm⁻³. The total energy is -3.21 eV/atom.

The structure in extended XYZ format:
```
9
Lattice="5.251 -2.301 0.000 5.251 2.301 0.000 -3.638 0.000 7.759" Properties=species:S:1:pos:R:3 pbc="T T T"
Na 0.000 0.000 0.000
Na 1.950 0.000 2.832
Na 4.913 0.000 4.927
Ag 1.723 0.000 5.808
Ag 5.140 0.000 1.951
Ge -1.229 0.000 2.733
Ge -0.674 0.000 7.076
Ge 7.537 0.000 0.683
Ge 8.092 0.000 5.025
```


VASP calculation (PBE-GGA) on Pm5Sm5Sb6 after structural relaxation.

The space group is Amm2, No. 38. The value obtained for the total moment is 1.07 μB per cell. The density is 7.68 g cm⁻³. The total energy is -5.47 eV/atom.

The structure in extended XYZ format:
```
16
Lattice="6.456 0.000 0.000 0.000 8.008 4.618 0.000 -8.008 4.618" Properties=species:S:1:pos:R:3 pbc="T T T"
Pm 0.000 0.000 0.000
Pm 1.614 -2.667 6.914
Pm 1.614 2.667 6.914
Pm 4.842 -2.667 6.914
Pm 4.842 2.667 6.914
Sm 0.000 -1.995 3.445
Sm 0.000 1.995 3.445
Sm 3.228 -6.012 5.763
Sm 3.228 0.000 4.587
Sm 3.228 6.012 5.763
Sb 0.000 -4.907 5.131
Sb 0.000 0.000 5.858
Sb 0.000 4.907 5.131
Sb 3.228 -3.093 4.079
Sb 3.228 3.093 4.079
Sb 3.228 0.000 7.962
```